Entry 1:
Dy4InPbO | PBE-GGA | optimized geometry

The structure belongs to space group Cmcm (No. 63); the cell edges are 6.5017, 16.9862 and 6.4859 Å and the angles 90.00°, 90.00° and 90.00°. The distinct sites, in fractional coordinates, are Dy at (0.0000, 0.0689, 0.2500), Dy at (0.0000, 0.4161, 0.2500), Dy at (0.2500, 0.2500, 0.0000), In at (0.0000, 0.1139, 0.7500), Pb at (0.0000, 0.3918, 0.7500) and O at (0.0000, 0.2731, 0.2500).

Its volume is 716.31 Å³/cell. Its raw formation energy is -1.139 eV per atom. The mass density is 9.162 g/cm³. Its total energy is -5.398 eV/atom.

---

Entry 2:
Pu2Ga3Cu4Ni | PBE-GGA | optimized geometry

The structure belongs to space group P-4m2 (No. 115); the cell edges are 3.9603, 3.9603 and 10.8275 Å and the angles 90.00°, 90.00° and 90.00°. The distinct sites, in fractional coordinates, are Pu at (0.0000, 0.5000, 0.2385), Ga at (0.0000, 0.0000, 0.0000), Ga at (0.0000, 0.5000, 0.6369), Cu at (0.0000, 0.0000, 0.5000), Cu at (0.0000, 0.5000, 0.8635), Cu at (0.5000, 0.5000, 0.5000) and Ni at (0.5000, 0.5000, 0.0000).

Its volume is 169.82 Å³/cell. The mass density is 9.877 g/cm³. Its total energy is -6.157 eV/atom. The formation enthalpy at 0 K is -166 meV per atom.

---

Entry 3:
NaThSiN3 | PBE-GGA | optimized geometry

The structure belongs to space group P2_1/m (No. 11); the cell edges are 7.0898, 3.5040 and 8.3495 Å and the angles 90.00°, 95.89° and 90.00°. The distinct sites, in fractional coordinates, are Na at (0.1366, 0.2500, 0.1304), Th at (0.3771, 0.7500, 0.8338), Si at (0.0692, 0.2500, 0.6076), N at (0.1219, 0.2500, 0.8082), N at (0.1332, 0.7500, 0.5337) and N at (0.4090, 0.7500, 0.1092).

Its volume is 206.33 Å³/cell. Its raw formation energy is -0.883 eV per atom. The mass density is 5.233 g/cm³. Its total energy is -7.406 eV/atom.

---

Entry 4:
Ho3Tm2Ru3 | PBE-GGA | optimized geometry

The structure belongs to space group Immm (No. 71); the cell edges are 3.4392, 5.0620 and 20.3937 Å and the angles 90.00°, 90.00° and 90.00°. The distinct sites, in fractional coordinates, are Ho at (0.0000, 0.0000, 0.0000), Ho at (0.0000, 0.5000, 0.1114), Tm at (0.0000, 0.0000, 0.2197), Ru at (0.0000, 0.0000, 0.5000) and Ru at (0.0000, 0.5000, 0.3840).

Its volume is 355.04 Å³/cell. The mass density is 10.625 g/cm³. Its total energy is -6.644 eV/atom. The formation enthalpy at 0 K is -331 meV per atom.

---

Entry 5:
SmZrAl2 | PBE-GGA | optimized geometry

The structure belongs to space group R-3m (No. 166, hexagonal axes); the cell edges are 3.4944, 3.4944 and 26.7379 Å and the angles 90.00°, 90.00° and 120.00°. The distinct sites, in fractional coordinates, are Sm at (0.0000, 0.0000, 0.0000), Zr at (0.0000, 0.0000, 0.5000) and Al at (0.0000, 0.0000, 0.2443).

Its volume is 282.76 Å³/cell. The mass density is 5.207 g/cm³. Its total energy is -5.283 eV/atom. As for the distance to the lowest polymorph of the same formula: 0.99 eV/f.u. The formation enthalpy at 0 K is -95 meV per atom.

---

Entry 6:
KNdF4 | PBE-GGA | optimized geometry

The structure belongs to space group Pnma (No. 62); the cell edges are 6.2855, 3.7773 and 15.7900 Å and the angles 90.00°, 90.00° and 90.00°. The distinct sites, in fractional coordinates, are K at (0.2207, 0.2500, 0.2025), Nd at (0.2485, 0.7500, 0.4395), F at (0.0051, 0.2500, 0.0580), F at (0.0921, 0.2500, 0.8076), F at (0.1037, 0.2500, 0.3662) and F at (0.1346, 0.2500, 0.5358).

Its volume is 374.89 Å³/cell. Its raw formation energy is -3.703 eV per atom. The mass density is 4.595 g/cm³. Its total energy is -5.928 eV/atom.

---

Entry 7:
NbAl2V6Mo2 | PBE-GGA | optimized geometry

The structure belongs to space group R-3m (No. 166, hexagonal axes); the cell edges are 5.2574, 5.2574 and 21.5760 Å and the angles 90.00°, 90.00° and 120.00°. The distinct sites, in fractional coordinates, are Nb at (0.0000, 0.0000, 0.0000), Al at (0.0000, 0.0000, 0.3227), V at (0.0005, 0.5003, 0.5567) and Mo at (0.0000, 0.0000, 0.4401).

Its volume is 516.47 Å³/cell. The mass density is 6.216 g/cm³. Its total energy is -8.165 eV/atom. The formation enthalpy at 0 K is 374 meV per atom.

---

Entry 8:
ZnMoBr | PBE-GGA | optimized geometry

The structure belongs to space group I4mm (No. 107); the cell edges are 3.0701, 3.0701 and 12.9075 Å and the angles 90.00°, 90.00° and 90.00°. The distinct sites, in fractional coordinates, are Zn at (0.0000, 0.0000, 0.0000), Mo at (0.0000, 0.0000, 0.6257) and Br at (0.0000, 0.0000, 0.2535).

Its volume is 121.66 Å³/cell. Its raw formation energy is 0.415 eV per atom. The mass density is 6.586 g/cm³. Its total energy is -4.178 eV/atom. As for the distance to the lowest polymorph of the same formula: 1.06 eV/f.u.

---

Entry 9:
Ba3RhO | PBE-GGA | optimized geometry

The structure belongs to space group Pm-3m (No. 221); the cell edges are 5.3550, 5.3550 and 5.3550 Å and the angles 90.00°, 90.00° and 90.00°. The distinct sites, in fractional coordinates, are Ba at (0.0000, 0.0000, 0.5000), Rh at (0.5000, 0.5000, 0.5000) and O at (0.0000, 0.0000, 0.0000).

Its volume is 153.56 Å³/cell. Its raw formation energy is -0.912 eV per atom. The mass density is 5.741 g/cm³. Its total energy is -4.528 eV/atom. As for the distance to the lowest polymorph of the same formula: 0.26 eV/f.u.

---

Entry 10:
TmPuNiRh | PBE-GGA | optimized geometry

The structure belongs to space group F-43m (No. 216); the cell edges are 6.7683, 6.7683 and 6.7683 Å and the angles 90.00°, 90.00° and 90.00°. The distinct sites, in fractional coordinates, are Tm at (0.0000, 0.0000, 0.0000), Pu at (0.0000, 0.0000, 0.5000), Ni at (0.2500, 0.2500, 0.7500) and Rh at (0.2500, 0.2500, 0.2500).

Its volume is 310.06 Å³/cell. The mass density is 12.308 g/cm³. Its total energy is -8.412 eV/atom. The formation enthalpy at 0 K is -428 meV per atom.

---

Entry 11:
Tb2TlBi | PBE-GGA | optimized geometry

The structure belongs to space group R-3m (No. 166, hexagonal axes); the cell edges are 4.2518, 4.2518 and 24.1703 Å and the angles 90.00°, 90.00° and 120.00°. The distinct sites, in fractional coordinates, are Tb at (0.0000, 0.0000, 0.2459), Tl at (0.0000, 0.0000, 0.0000) and Bi at (0.0000, 0.0000, 0.5000).

Its volume is 378.41 Å³/cell. The mass density is 9.626 g/cm³. Its total energy is -4.379 eV/atom. As for the distance to the lowest polymorph of the same formula: 0.35 eV/f.u. The formation enthalpy at 0 K is -502 meV per atom.

---

Entry 12:
NaDyAgCl5 | PBE-GGA | optimized geometry

The structure belongs to space group C2/c (No. 15); the cell edges are 7.8489, 13.1149 and 9.8179 Å and the angles 90.00°, 109.87° and 90.00°. The distinct sites, in fractional coordinates, are Na at (0.0000, 0.0744, 0.2500), Dy at (0.0000, 0.5000, 0.0000), Ag at (0.0000, 0.2139, 0.7500), Cl at (0.0000, 0.4197, 0.2500), Cl at (0.1699, 0.3343, 0.6304) and Cl at (0.1730, 0.0796, 0.9516).

Its volume is 950.45 Å³/cell. Its raw formation energy is -1.688 eV per atom. The mass density is 3.289 g/cm³. Its total energy is -3.939 eV/atom.

---

> Number 7 is which compound?

NbAl2V6Mo2